1.
# Dy3Al4Ag4

A geometry-optimized Dy3Al4Ag4 structure (PBE, the Alexandria database).

The energy of formation comes out at -0.34 eV per atom. For the excess energy over the best structure of this formula in the dataset, the calculation gives 0.0261 eV/atom. The calculation puts the energy at -3.991 eV per atom. As for the volume: 229.90 Å³ per cell.

Cell: 3.507 4.585 14.582 Å, 81.02 83.15 90.00°
Space group P-1 (No. 2)
Inequivalent atoms, fractional coordinates:
Dy  0.000  0.000  0.000 [1 per cell]
Dy  0.144  0.644  0.713 [2 per cell]
Al  0.260  0.260  0.480 [2 per cell]
Al  0.405  0.905  0.190 [2 per cell]
Ag  0.312  0.812  0.376 [2 per cell]
Ag  0.451  0.451  0.099 [2 per cell]

***

2.
# TmSc2Pd6

A geometry-optimized TmSc2Pd6 structure (PBE, the Alexandria database).

The energy of formation comes out at -0.62 eV per atom. The calculation puts the energy at -5.988 eV per atom. As for the volume: 335.19 Å³ per cell.

Cell: 4.658 7.593 9.478 Å, 90.00 90.00 90.00°
Space group Immm (No. 71)
Inequivalent atoms, fractional coordinates:
Tm  0.000  0.000  0.000 [2 per cell]
Sc  0.000  0.000  0.335 [4 per cell]
Pd  0.000  0.288  0.500 [4 per cell]
Pd  0.000  0.302  0.173 [8 per cell]

***

3.
# TmZrPa2

A geometry-optimized TmZrPa2 structure (PBE, the Alexandria database).

The energy of formation comes out at 0.40 eV per atom. For the excess energy over the best structure of this formula in the dataset, the calculation gives 0.2741 eV/atom. The calculation puts the energy at -7.606 eV per atom. As for the volume: 413.67 Å³ per cell.

Cell: 7.451 7.451 7.451 Å, 90.00 90.00 90.00°
Space group Fm-3m (No. 225)
Inequivalent atoms, fractional coordinates:
Tm  0.000  0.000  0.000 [4 per cell]
Zr  0.000  0.000  0.500 [4 per cell]
Pa  0.250  0.250  0.250 [8 per cell]

***

4.
# ErCoRhPb

A geometry-optimized ErCoRhPb structure (PBE, the Alexandria database).

The energy of formation comes out at -0.30 eV per atom. The calculation puts the energy at -5.977 eV per atom. As for the volume: 289.83 Å³ per cell.

Cell: 6.618 6.618 6.618 Å, 90.00 90.00 90.00°
Space group F-43m (No. 216)
Inequivalent atoms, fractional coordinates:
Er  0.000  0.000  0.000 [4 per cell]
Co  0.250  0.250  0.250 [4 per cell]
Rh  0.250  0.250  0.750 [4 per cell]
Pb  0.000  0.000  0.500 [4 per cell]

***

5.
# Tb2Al3Zn2

A geometry-optimized Tb2Al3Zn2 structure (PBE, the Alexandria database).

The energy of formation comes out at -0.42 eV per atom. For the excess energy over the best structure of this formula in the dataset, the calculation gives 0.0000 eV/atom. The calculation puts the energy at -3.709 eV per atom. As for the volume: 279.92 Å³ per cell.

Cell: 10.527 4.319 6.719 Å, 90.00 113.61 90.00°
Space group C2/m (No. 12)
Inequivalent atoms, fractional coordinates:
Tb  0.151  0.000  0.276 [4 per cell]
Al  0.000  0.500  0.500 [2 per cell]
Al  0.099  0.500  0.928 [4 per cell]
Zn  0.148  0.000  0.748 [4 per cell]

***

6.
# Mg3HgPt

A geometry-optimized Mg3HgPt structure (PBE, the Alexandria database).

The energy of formation comes out at -0.47 eV per atom. For the excess energy over the best structure of this formula in the dataset, the calculation gives 0.0000 eV/atom. The calculation puts the energy at -2.693 eV per atom. As for the volume: 398.34 Å³ per cell.

Cell: 8.125 7.508 7.274 Å, 90.00 116.14 90.00°
Space group P2_1/c (No. 14)
Inequivalent atoms, fractional coordinates:
Mg  0.027  0.017  0.310 [4 per cell]
Mg  0.270  0.104  0.090 [4 per cell]
Mg  0.372  0.720  0.936 [4 per cell]
Hg  0.358  0.050  0.720 [4 per cell]
Pt  0.091  0.704  0.544 [4 per cell]

***

7.
# Li6Ce

A geometry-optimized Li6Ce structure (PBE, the Alexandria database).

The energy of formation comes out at 0.41 eV per atom. The calculation puts the energy at -2.074 eV per atom. As for the volume: 341.27 Å³ per cell.

Cell: 6.988 6.988 6.988 Å, 90.00 90.00 90.00°
Space group Im-3m (No. 229)
Inequivalent atoms, fractional coordinates:
Li  0.000  0.250  0.500 [12 per cell]
Ce  0.000  0.000  0.000 [2 per cell]

***

8.
# TlWCl5

A geometry-optimized TlWCl5 structure (PBE, the Alexandria database).

The calculation puts the energy at -4.328 eV per atom. As for the volume: 941.96 Å³ per cell.

Cell: 14.155 7.598 9.338 Å, 90.00 110.29 90.00°
Space group C2/c (No. 15)
Inequivalent atoms, fractional coordinates:
Tl  0.000  0.043  0.250 [4 per cell]
W  0.000  0.500  0.000 [4 per cell]
Cl  0.000  0.399  0.750 [4 per cell]
Cl  0.125  0.284  0.521 [8 per cell]
Cl  0.126  0.287  0.111 [8 per cell]

***

> The highest energy belongs to which entry?

Li6Ce

***

> What is the formula in the eighth record?

TlWCl5

***

> energy of number 6 (Mg3HgPt)?

-2.693 eV per atom

***

> Which of these has the highest energy?

Li6Ce